1.
The following is a DFT calculation (PBE-GGA) of a geometry-optimized YZnCoAu2 structure.

Results
Crystal system: tetragonal
Raw total energy: -3.324 eV per atom

Cell lengths 5.476, 5.476, 4.990 Å; angles 90.00, 90.00, 90.00 degrees
Space group P4/mmm (No. 123)
Unique sites:
Y 0.000 0.000 0.000 x1
Zn 0.500 0.500 0.500 x1
Co 0.000 0.000 0.500 x1
Au 0.000 0.500 0.000 x2


2.
The following is a DFT calculation (PBE-GGA) of a geometry-optimized YZrCoAu structure.

Results
Crystal system: cubic
Raw total energy: -6.665 eV per atom

Cell lengths 6.829, 6.829, 6.829 Å; angles 90.00, 90.00, 90.00 degrees
Space group F-43m (No. 216)
Unique sites:
Y 0.000 0.000 0.000 x4
Zr 0.000 0.000 0.500 x4
Co 0.250 0.250 0.750 x4
Au 0.250 0.250 0.250 x4


3.
The following is a DFT calculation (PBE-GGA) of a geometry-optimized ZnCoAu2 structure.

Results
Crystal system: tetragonal
Raw total energy: -3.687 eV per atom

Cell lengths 2.840, 2.840, 7.608 Å; angles 90.00, 90.00, 90.00 degrees
Space group P4mm (No. 99)
Unique sites:
Zn 0.000 0.000 0.000 x1
Co 0.500 0.500 0.792 x1
Au 0.000 0.000 0.554 x1
Au 0.500 0.500 0.256 x1


4.
The following is a DFT calculation (PBE-GGA) of a geometry-optimized ZnCoAu2 structure.

Results
Crystal system: orthorhombic
Raw total energy: -3.680 eV per atom

Cell lengths 5.802, 7.103, 2.994 Å; angles 90.00, 90.00, 90.00 degrees
Space group Cmmm (No. 65)
Unique sites:
Zn 0.000 0.000 0.000 x2
Co 0.000 0.500 0.000 x2
Au 0.250 0.250 0.500 x4


5.
The following is a DFT calculation (PBE-GGA) of a geometry-optimized ZnCoAu structure.

Results
Energy relative to the lowest polymorph listed for this composition: 298 meV/atom
Crystal system: cubic

Cell lengths 5.854, 5.854, 5.854 Å; angles 90.00, 90.00, 90.00 degrees
Space group F-43m (No. 216)
Unique sites:
Zn 0.000 0.000 0.000 x4
Co 0.250 0.250 0.250 x4
Au 0.000 0.000 0.500 x4


6.
The following is a DFT calculation (PBE-GGA) of a geometry-optimized Zn2CoAu structure.

Results
Crystal system: trigonal
Raw total energy: -3.236 eV per atom

Cell lengths 2.8027, 2.8027, 25.7930 Å; angles 90.00, 90.00, 120.00 degrees
Space group R-3m (No. 166, hexagonal axes)
Unique sites:
Zn 0.0000 0.0000 0.2423 x6
Co 0.0000 0.0000 0.5000 x3
Au 0.0000 0.0000 0.0000 x3